# 1
DFT (PBEsol) results for a relaxed structure of Os3Pt.

## Properties
ΔH_f (0 K): 0.05 eV/atom

a = 2.7364 Å, b = 2.7364 Å, c = 8.7610 Å
α = 90.00°, β = 90.00°, γ = 120.00°
Space group P-6m2 (No. 187)
Asymmetric unit:
Os: 0.0000 0.0000 0.0000
Os: 0.3333 0.6667 0.2398
Pt: 0.0000 0.0000 0.5000

# 2
DFT (PBEsol) results for a relaxed structure of CaSc2Cl.

## Properties
Uncorrected formation energy: -559 meV/atom
E above lowest polymorph: 0 kJ/mol of formula units

a = 3.286 Å, b = 3.286 Å, c = 8.854 Å
α = 90.00°, β = 90.00°, γ = 90.00°
Space group P4mm (No. 99)
Asymmetric unit:
Ca: 0.000 0.000 0.000
Sc: 0.000 0.000 0.459
Sc: 0.500 0.500 0.698
Cl: 0.500 0.500 0.227

# 3
DFT (PBEsol) results for a relaxed structure of YNi2Au.

## Properties
ΔH_f (0 K): -0.37 eV/atom

a = 4.1049 Å, b = 4.1049 Å, c = 13.9242 Å
α = 90.00°, β = 90.00°, γ = 120.00°
Space group R3m (No. 160, hexagonal axes)
Asymmetric unit:
Y: 0.0000 0.0000 0.0000
Ni: 0.0000 0.0000 0.4595
Ni: 0.0000 0.0000 0.7938
Au: 0.0000 0.0000 0.2072

# 4
DFT (PBEsol) results for a relaxed structure of LiNiHg2.

## Properties
ΔH_f (0 K): -0.08 eV/atom

a = 3.790 Å, b = 3.859 Å, c = 8.626 Å
α = 90.00°, β = 90.00°, γ = 90.00°
Space group Imm2 (No. 44)
Asymmetric unit:
Li: 0.000 0.000 0.000
Ni: 0.000 0.500 0.749
Hg: 0.000 0.000 0.498
Hg: 0.000 0.500 0.249

# 5
DFT (PBEsol) results for a relaxed structure of In2Co.

## Properties
ΔH_f (0 K): 0.09 eV/atom

a = 2.948 Å, b = 11.963 Å, c = 3.071 Å
α = 90.00°, β = 90.00°, γ = 90.00°
Space group Cmmm (No. 65)
Asymmetric unit:
In: 0.000 0.135 0.000
Co: 0.000 0.500 0.500

# 6
DFT (PBEsol) results for a relaxed structure of Ta2Ir.

## Properties
ΔH_f (0 K): -0.53 eV/atom

a = 9.847 Å, b = 9.847 Å, c = 5.053 Å
α = 90.00°, β = 90.00°, γ = 90.00°
Space group P4_2/mnm (No. 136)
Asymmetric unit:
Ta: 0.037 0.371 0.000
Ta: 0.104 0.104 0.000
Ta: 0.179 0.821 0.249
Ir: 0.000 0.000 0.500
Ir: 0.069 0.262 0.500